Below is a relaxed Re2SbSe crystal, with properties calculated at the PBE level.

**Uncorrected formation energy**: 4.248 eV/f.u.
**M_tot**: 0.000 μB/atom

Cell: 3.084 5.446 8.516 Å, 90.00 90.00 90.00°
Space group Cmmm (No. 65)
Asymmetric unit:
Re1 0.000 0.000 0.239 x4
Sb1 0.000 0.500 0.500 x2
Se1 0.000 0.500 0.000 x2

Below is a relaxed BeSnRu2 crystal, with properties calculated at the PBE level.

**M_tot**: 0.000 μB/atom
**Formation enthalpy at 0 K**: 0.400 eV/atom

Cell: 4.002 4.002 16.755 Å, 90.00 90.00 90.00°
Space group I-42d (No. 122)
Asymmetric unit:
Be1 0.000 0.000 0.000 x4
Sn1 0.000 0.000 0.500 x4
Ru1 0.168 0.250 0.125 x8

Below is a relaxed Y4NiCl5 crystal, with properties calculated at the PBE level.

**Uncorrected formation energy**: -16.079 eV/f.u.
**M_tot**: 0.000 μB/atom

Cell: 17.939 3.869 8.170 Å, 90.00 103.07 90.00°
Space group C2/m (No. 12)
Asymmetric unit:
Y1 0.001 0.000 0.223 x4
Y2 0.150 0.500 0.084 x4
Ni1 0.000 0.500 0.000 x2
Cl1 0.000 0.500 0.500 x2
Cl2 0.168 0.000 0.328 x4
Cl3 0.178 0.000 0.855 x4

Below is a relaxed Ce2Si2HOs2 crystal, with properties calculated at the PBE level.

**M_tot**: 0.034 μB/atom
**Raw total energy**: -7.459 eV/atom

Cell: 10.434 4.251 6.820 Å, 90.00 128.55 90.00°
Space group C2/m (No. 12)
Asymmetric unit:
Ce1 0.058 0.000 0.334 x4
Si1 0.153 0.500 0.100 x4
H1 0.000 0.500 0.500 x2
Os1 0.215 0.500 0.808 x4

Below is a relaxed YMgAl3 crystal, with properties calculated at the PBE level.

**M_tot**: 0.000 μB/atom
**Formation enthalpy at 0 K**: -0.279 eV/atom

Cell: 3.419 26.788 4.527 Å, 90.00 90.00 90.00°
Space group Cmcm (No. 63)
Asymmetric unit:
Y1 0.000 0.074 0.250 x4
Mg1 0.000 0.216 0.750 x4
Al1 0.000 0.323 0.750 x4
Al2 0.000 0.376 0.250 x4
Al3 0.000 0.475 0.250 x4

Below is a relaxed Ac3HgF crystal, with properties calculated at the PBE level.

**Uncorrected formation energy**: -4.818 eV/f.u.
**M_tot**: 0.000 μB/atom

Cell: 5.417 5.417 5.417 Å, 90.00 90.00 90.00°
Space group Pm-3m (No. 221)
Asymmetric unit:
Ac1 0.000 0.000 0.500 x3
Hg1 0.500 0.500 0.500 x1
F1 0.000 0.000 0.000 x1

Below is a relaxed VTePd2 crystal, with properties calculated at the PBE level.

**Uncorrected formation energy**: -0.544 eV/f.u.
**M_tot**: 0.583 μB/atom

Cell: 4.040 4.040 4.158 Å, 90.00 90.00 90.00°
Space group P4/mmm (No. 123)
Asymmetric unit:
V1 0.000 0.000 0.000 x1
Te1 0.500 0.500 0.000 x1
Pd1 0.000 0.500 0.500 x2

Below is a relaxed Sc3AlTl4Te8 crystal, with properties calculated at the PBE level.

**Uncorrected formation energy**: -12.324 eV/f.u.
**M_tot**: 0.000 μB/atom

Cell: 14.751 8.514 9.441 Å, 90.00 121.44 90.00°
Space group C2/m (No. 12)
Asymmetric unit:
Sc1 0.000 0.000 0.000 x2
Sc2 0.250 0.250 0.000 x4
Al1 0.000 0.500 0.000 x2
Tl1 0.000 0.000 0.500 x2
Tl2 0.000 0.500 0.500 x2
Tl3 0.250 0.250 0.500 x4
Te1 0.015 0.257 0.803 x8
Te2 0.228 0.500 0.197 x4
Te3 0.235 0.000 0.205 x4

Below is a relaxed Ac3ReS2O6 crystal, with properties calculated at the PBE level.

**Uncorrected formation energy**: -25.644 eV/f.u.
**M_tot**: 0.000 μB/atom

Cell: 13.105 7.054 5.063 Å, 90.00 93.81 90.00°
Space group C2/m (No. 12)
Asymmetric unit:
Ac1 0.000 0.000 0.000 x2
Ac2 0.250 0.250 0.500 x4
Re1 0.000 0.500 0.500 x2
S1 0.211 0.000 0.934 x4
O1 0.053 0.297 0.290 x8
O2 0.133 0.500 0.671 x4

Below is a relaxed GePtSe2 crystal, with properties calculated at the PBE level.

**Uncorrected formation energy**: -0.002 eV/f.u.
**M_tot**: 0.000 μB/atom

Cell: 5.830 5.830 11.929 Å, 90.00 90.00 90.00°
Space group I-42d (No. 122)
Asymmetric unit:
Ge1 0.000 0.000 0.000 x4
Pt1 0.000 0.000 0.500 x4
Se1 0.230 0.250 0.625 x8

Below is a relaxed Ba2Sn2Hg15 crystal, with properties calculated at the PBE level.

**M_tot**: 0.000 μB/atom
**Formation enthalpy at 0 K**: -0.160 eV/atom

Cell: 9.9013 9.9013 19.4940 Å, 90.00 90.00 120.00°
Space group R-3m (No. 166, hexagonal axes)
Asymmetric unit:
Ba1 0.0000 0.0000 0.1982 x6
Sn1 0.0000 0.0000 0.3899 x6
Hg1 0.0000 0.2919 0.5000 x18
Hg2 0.0000 0.5000 0.0000 x9
Hg3 0.0615 0.5307 0.6178 x18

Below is a relaxed Nd3Y4Er crystal, with properties calculated at the PBE level.

**M_tot**: 0.000 μB/atom
**Formation enthalpy at 0 K**: 0.129 eV/atom

Cell: 3.497 11.742 13.105 Å, 90.00 90.00 90.00°
Space group Immm (No. 71)
Asymmetric unit:
Nd1 0.000 0.000 0.000 x2
Nd2 0.000 0.500 0.243 x4
Y1 0.000 0.246 0.366 x8
Er1 0.000 0.000 0.500 x2

Below is a relaxed SmDyGe4 crystal, with properties calculated at the PBE level.

**M_tot**: 0.000 μB/atom
**Formation enthalpy at 0 K**: -0.330 eV/atom

Cell: 8.006 8.006 8.006 Å, 90.00 90.00 90.00°
Space group F-43m (No. 216)
Asymmetric unit:
Sm1 0.000 0.000 0.000 x4
Dy1 0.250 0.250 0.250 x4
Ge1 0.124 0.124 0.624 x16

Below is a relaxed Zr4Rh2N crystal, with properties calculated at the PBE level.

**Uncorrected formation energy**: -4.988 eV/f.u.
**M_tot**: 0.000 μB/atom

Cell: 14.216 3.152 5.819 Å, 90.00 109.49 90.00°
Space group C2/m (No. 12)
Asymmetric unit:
Zr1 0.086 0.000 0.409 x4
Zr2 0.106 0.500 0.946 x4
Rh1 0.245 0.500 0.710 x4
N1 0.000 0.000 0.000 x2

Below is a relaxed LaGaBiTe2 crystal, with properties calculated at the PBE level.

**Uncorrected formation energy**: 0.938 eV/f.u.
**M_tot**: 0.000 μB/atom

Cell: 6.073 6.073 5.838 Å, 90.00 90.00 90.00°
Space group P4/mmm (No. 123)
Asymmetric unit:
La1 0.000 0.000 0.000 x1
Ga1 0.000 0.000 0.500 x1
Bi1 0.500 0.500 0.500 x1
Te1 0.000 0.500 0.000 x2

Below is a relaxed Tm2PaBe crystal, with properties calculated at the PBE level.

**M_tot**: 0.000 μB/atom
**Formation enthalpy at 0 K**: 0.446 eV/atom

Cell: 3.2403 3.2403 31.9206 Å, 90.00 90.00 120.00°
Space group R-3m (No. 166, hexagonal axes)
Asymmetric unit:
Tm1 0.0000 0.0000 0.1021 x6
Pa1 0.0000 0.0000 0.0000 x3
Be1 0.0000 0.0000 0.5000 x3

Below is a relaxed AlCoAu2 crystal, with properties calculated at the PBE level.

**M_tot**: 0.474 μB/atom
**Formation enthalpy at 0 K**: 0.084 eV/atom

Cell: 2.9373 2.9373 25.4844 Å, 90.00 90.00 120.00°
Space group R-3m (No. 166, hexagonal axes)
Asymmetric unit:
Al1 0.0000 0.0000 0.0000 x3
Co1 0.0000 0.0000 0.5000 x3
Au1 0.0000 0.0000 0.2507 x6

Below is a relaxed LiLaTb crystal, with properties calculated at the PBE level.

**M_tot**: 0.000 μB/atom
**Formation enthalpy at 0 K**: 0.208 eV/atom

Cell: 15.1263 15.1263 8.5116 Å, 90.00 90.00 120.00°
Space group R-3 (No. 148, hexagonal axes)
Asymmetric unit:
Li1 0.0808 0.5633 0.1675 x18
La1 0.0356 0.2843 0.8174 x18
Tb1 0.0240 0.1439 0.1701 x18

Below is a relaxed SrZnPb crystal, with properties calculated at the PBE level.

**M_tot**: 0.000 μB/atom
**Formation enthalpy at 0 K**: -0.364 eV/atom

Cell: 4.835 6.400 6.497 Å, 76.65 68.45 67.94°
Space group P-1 (No. 2)
Asymmetric unit:
Sr1 0.050 0.199 0.198 x2
Zn1 0.361 0.191 0.591 x2
Pb1 0.318 0.608 0.249 x2

Below is a relaxed ScHg2Mo crystal, with properties calculated at the PBE level.

**M_tot**: 0.200 μB/atom
**Formation enthalpy at 0 K**: 0.553 eV/atom

Cell: 4.114 4.114 20.590 Å, 90.00 90.00 90.00°
Space group I-42d (No. 122)
Asymmetric unit:
Sc1 0.000 0.000 0.000 x4
Hg1 0.239 0.250 0.625 x8
Mo1 0.000 0.000 0.500 x4